No. 1
First-principles (PBE) data for crystalline Tb2TiAu at its relaxed geometry, as listed in Alexandria via LeMat-Bulk.

Cell lengths 3.4847, 3.4847, 7.9020 Å; angles 90.00, 90.00, 90.00 degrees
Sites, in units of the cell vectors:
Tb (0.0000, 0.0000, 0.7582)
Ti (0.5000, 0.5000, 0.5000)
Tb (0.0000, 0.0000, 0.2418)
Au (0.5000, 0.5000, 0.0000)

Properties
- VASP energy (eV per atom) = -5.376
- D(E_F) (states/eV/f.u.) = 3.8
- energy relative to the elements (meV per atom) = -268

=====

No. 2
First-principles (PBE) data for crystalline TbTiAu2 at its relaxed geometry, as listed in Alexandria via LeMat-Bulk.

Cell lengths 3.3946, 3.3946, 7.0579 Å; angles 90.00, 90.00, 90.00 degrees
Site moments in Bohr magnetons follow the coordinates.
Sites, in units of the cell vectors:
Au (0.0000, 0.0000, 0.7858)  0.02
Ti (0.5000, 0.5000, 0.0000)  0.63
Tb (0.5000, 0.5000, 0.5000)  0.05
Au (0.0000, 0.0000, 0.2142)  0.02

Properties
- VASP energy (eV per atom) = -5.308
- D(E_F) (states/eV/f.u.) = 4.0
- energy relative to the elements (meV per atom) = -538